# 1
Computed, not measured: a relaxed structure of LiPmSm2 at the PBE level of DFT. Values from VASP.

Structure (Quantum ESPRESSO input):
```
&SYSTEM
  ibrav = 0, nat = 4, ntyp = 3
/
ATOMIC_SPECIES
Li 6.94 Li.upf
Pm 145.00 Pm.upf
Sm 150.36 Sm.upf
ATOMIC_POSITIONS crystal
Li 0.000 0.000 0.000
Pm 0.500 0.500 0.500
Sm 0.088 0.088 0.088
Sm 0.912 0.912 0.912
CELL_PARAMETERS angstrom
1.762 1.017 12.414
-1.762 1.017 12.414
0.000 -2.035 12.414
```

The value obtained for the density of states at the Fermi level is 1.416 states/eV per atom. The value obtained for the electronic total energy is -3.844 eV/atom. The calculation puts the theoretical density at 5.629 g/cm³. Its volume is 134 Å³/cell. The value obtained for the formation energy is 182 meV per atom. The space-group type is R-3m.



# 2
Computed, not measured: a relaxed structure of LiPmSm2 at the PBE level of DFT. Values from VASP.

Structure (Quantum ESPRESSO input):
```
&SYSTEM
  ibrav = 0, nat = 4, ntyp = 3
/
ATOMIC_SPECIES
Li 6.94 Li.upf
Pm 145.00 Pm.upf
Sm 150.36 Sm.upf
ATOMIC_POSITIONS crystal
Li 0.000 0.000 0.000
Pm 0.500 0.500 0.000
Sm 0.000 0.500 0.500
Sm 0.500 0.000 0.500
CELL_PARAMETERS angstrom
5.767 0.000 0.000
0.000 5.767 0.000
0.000 0.000 3.728
```

The value obtained for the density of states at the Fermi level is 1.414 states/eV per atom. The value obtained for the electronic total energy is -3.884 eV/atom. The calculation puts the theoretical density at 6.063 g/cm³. Its volume is 124 Å³/cell. The value obtained for the formation energy is 141 meV per atom. The space-group type is P4/mmm.



# 3
Computed, not measured: a relaxed structure of Li2PmSm at the PBE level of DFT. Values from VASP.

Structure (Quantum ESPRESSO input):
```
&SYSTEM
  ibrav = 0, nat = 4, ntyp = 3
/
ATOMIC_SPECIES
Li 6.94 Li.upf
Pm 145.00 Pm.upf
Sm 150.36 Sm.upf
ATOMIC_POSITIONS crystal
Li 0.250 0.250 0.250
Li 0.750 0.750 0.750
Pm 0.000 0.000 0.000
Sm 0.500 0.500 0.500
CELL_PARAMETERS angstrom
0.000 3.793 3.793
3.793 0.000 3.793
3.793 3.793 0.000
```

The value obtained for the density of states at the Fermi level is 1.482 states/eV per atom. The value obtained for the electronic total energy is -3.169 eV/atom. The calculation puts the theoretical density at 4.706 g/cm³. Its volume is 109 Å³/cell. The value obtained for the formation energy is 155 meV per atom. The space-group type is Fm-3m.



# 4
Computed, not measured: a relaxed structure of LiPmSm at the PBE level of DFT. Values from VASP.

Structure (Quantum ESPRESSO input):
```
&SYSTEM
  ibrav = 0, nat = 6, ntyp = 3
/
ATOMIC_SPECIES
Li 6.94 Li.upf
Pm 145.00 Pm.upf
Sm 150.36 Sm.upf
ATOMIC_POSITIONS crystal
Li 0.070 0.930 0.750
Li 0.930 0.070 0.250
Pm 0.409 0.591 0.750
Pm 0.591 0.409 0.250
Sm 0.276 0.724 0.250
Sm 0.724 0.276 0.750
CELL_PARAMETERS angstrom
1.875 -8.534 0.000
1.875 8.534 0.000
0.000 0.000 5.568
```

The value obtained for the density of states at the Fermi level is 1.253 states/eV per atom. The value obtained for the electronic total energy is -3.706 eV/atom. The calculation puts the theoretical density at 5.636 g/cm³. Its volume is 178 Å³/cell. The value obtained for the formation energy is 88 meV per atom. The space-group type is Cmcm.



# 5
Computed, not measured: a relaxed structure of LiPm5Sm8 at the PBE level of DFT. Values from VASP.

Structure (Quantum ESPRESSO input):
```
&SYSTEM
  ibrav = 0, nat = 14, ntyp = 3
/
ATOMIC_SPECIES
Li 6.94 Li.upf
Pm 145.00 Pm.upf
Sm 150.36 Sm.upf
ATOMIC_POSITIONS crystal
Li 0.000 0.000 0.000
Pm 0.226 0.034 0.607
Pm 0.382 0.774 0.809
Pm 0.427 0.618 0.393
Pm 0.750 0.250 0.500
Pm 0.966 0.573 0.191
Sm 0.075 0.301 0.389
Sm 0.175 0.418 0.896
Sm 0.314 0.925 0.226
Sm 0.521 0.279 0.104
Sm 0.582 0.479 0.757
Sm 0.699 0.088 0.774
Sm 0.721 0.825 0.243
Sm 0.912 0.686 0.611
CELL_PARAMETERS angstrom
-4.838 4.838 5.096
4.838 -4.838 5.096
4.838 4.838 -5.096
```

The value obtained for the density of states at the Fermi level is 1.306 states/eV per atom. The value obtained for the electronic total energy is -4.308 eV/atom. The calculation puts the theoretical density at 6.732 g/cm³. Its volume is 477 Å³/cell. The value obtained for the formation energy is 222 meV per atom. The space-group type is I-4.



# 6
Computed, not measured: a relaxed structure of Li4PmSm at the PBE level of DFT. Values from VASP.

Structure (Quantum ESPRESSO input):
```
&SYSTEM
  ibrav = 0, nat = 6, ntyp = 3
/
ATOMIC_SPECIES
Li 6.94 Li.upf
Pm 145.00 Pm.upf
Sm 150.36 Sm.upf
ATOMIC_POSITIONS crystal
Li 0.125 0.125 0.125
Li 0.125 0.125 0.625
Li 0.125 0.625 0.125
Li 0.625 0.125 0.125
Pm 0.750 0.750 0.750
Sm 0.500 0.500 0.500
CELL_PARAMETERS angstrom
0.000 4.189 4.189
4.189 0.000 4.189
4.189 4.189 0.000
```

The value obtained for the density of states at the Fermi level is 0.719 states/eV per atom. The value obtained for the electronic total energy is -2.749 eV/atom. The calculation puts the theoretical density at 3.651 g/cm³. Its volume is 147 Å³/cell. The value obtained for the formation energy is 105 meV per atom. The space-group type is F-43m.



# 7
Computed, not measured: a relaxed structure of LiPmSm2 at the PBE level of DFT. Values from VASP.

Structure (Quantum ESPRESSO input):
```
&SYSTEM
  ibrav = 0, nat = 4, ntyp = 3
/
ATOMIC_SPECIES
Li 6.94 Li.upf
Pm 145.00 Pm.upf
Sm 150.36 Sm.upf
ATOMIC_POSITIONS crystal
Li 0.000 0.000 0.000
Pm 0.833 0.833 0.833
Sm 0.413 0.413 0.413
Sm 0.587 0.587 0.587
CELL_PARAMETERS angstrom
1.794 1.036 11.389
-1.794 1.036 11.389
0.000 -2.071 11.389
```

The value obtained for the density of states at the Fermi level is 1.156 states/eV per atom. The value obtained for the electronic total energy is -3.928 eV/atom. The calculation puts the theoretical density at 5.922 g/cm³. Its volume is 127 Å³/cell. The value obtained for the formation energy is 98 meV per atom. The space-group type is R3m.



# 8
Computed, not measured: a relaxed structure of LiPmSm2 at the PBE level of DFT. Values from VASP.

Structure (Quantum ESPRESSO input):
```
&SYSTEM
  ibrav = 0, nat = 4, ntyp = 3
/
ATOMIC_SPECIES
Li 6.94 Li.upf
Pm 145.00 Pm.upf
Sm 150.36 Sm.upf
ATOMIC_POSITIONS crystal
Li 0.000 0.000 0.000
Pm 0.000 0.000 0.500
Sm 0.500 0.500 0.222
Sm 0.500 0.500 0.778
CELL_PARAMETERS angstrom
3.685 0.000 0.000
0.000 3.685 0.000
0.000 0.000 9.005
```

The value obtained for the density of states at the Fermi level is 1.657 states/eV per atom. The value obtained for the electronic total energy is -3.957 eV/atom. The calculation puts the theoretical density at 6.148 g/cm³. Its volume is 122 Å³/cell. The value obtained for the formation energy is 69 meV per atom. The space-group type is P4/mmm.



# 9
Computed, not measured: a relaxed structure of LiPmSm at the PBE level of DFT. Values from VASP.

Structure (Quantum ESPRESSO input):
```
&SYSTEM
  ibrav = 0, nat = 3, ntyp = 3
/
ATOMIC_SPECIES
Li 6.94 Li.upf
Pm 145.00 Pm.upf
Sm 150.36 Sm.upf
ATOMIC_POSITIONS crystal
Li 0.000 0.000 0.000
Pm 0.654 0.654 0.000
Sm 0.348 0.348 0.000
CELL_PARAMETERS angstrom
-1.874 1.874 6.290
1.874 -1.874 6.290
1.874 1.874 -6.290
```

The value obtained for the density of states at the Fermi level is 1.491 states/eV per atom. The value obtained for the electronic total energy is -3.711 eV/atom. The calculation puts the theoretical density at 5.678 g/cm³. Its volume is 88 Å³/cell. The value obtained for the formation energy is 83 meV per atom. The space-group type is I4mm.



# 10
Computed, not measured: a relaxed structure of Li2PmSm2Sn2 at the PBE level of DFT. Values from VASP.

Structure (Quantum ESPRESSO input):
```
&SYSTEM
  ibrav = 0, nat = 7, ntyp = 4
/
ATOMIC_SPECIES
Li 6.94 Li.upf
Pm 145.00 Pm.upf
Sm 150.36 Sm.upf
Sn 118.71 Sn.upf
ATOMIC_POSITIONS crystal
Li 0.097 0.097 0.097
Li 0.903 0.903 0.903
Pm 0.500 0.500 0.500
Sm 0.371 0.371 0.371
Sm 0.629 0.629 0.629
Sn 0.237 0.237 0.237
Sn 0.763 0.763 0.763
CELL_PARAMETERS angstrom
2.412 1.393 9.136
-2.412 1.393 9.136
0.000 -2.785 9.136
```

The value obtained for the density of states at the Fermi level is 0.622 states/eV per atom. The value obtained for the electronic total energy is -4.190 eV/atom. The calculation puts the theoretical density at 6.287 g/cm³. Its volume is 184 Å³/cell. The value obtained for the formation energy is -473 meV per atom. The space-group type is R-3m.



# 11
Computed, not measured: a relaxed structure of LiTbPmSm at the PBE level of DFT. Values from VASP.

Structure (Quantum ESPRESSO input):
```
&SYSTEM
  ibrav = 0, nat = 4, ntyp = 4
/
ATOMIC_SPECIES
Li 6.94 Li.upf
Tb 158.93 Tb.upf
Pm 145.00 Pm.upf
Sm 150.36 Sm.upf
ATOMIC_POSITIONS crystal
Li 0.000 0.000 0.000
Tb 0.250 0.250 0.250
Pm 0.500 0.500 0.500
Sm 0.750 0.750 0.750
CELL_PARAMETERS angstrom
0.000 3.943 3.943
3.943 0.000 3.943
3.943 3.943 0.000
```

The value obtained for the density of states at the Fermi level is 1.179 states/eV per atom. The value obtained for the electronic total energy is -3.805 eV/atom. The calculation puts the theoretical density at 6.246 g/cm³. Its volume is 123 Å³/cell. The value obtained for the formation energy is 198 meV per atom. The space-group type is F-43m.



# 12
Computed, not measured: a relaxed structure of LiPmSmTc at the PBE level of DFT. Values from VASP.

Structure (Quantum ESPRESSO input):
```
&SYSTEM
  ibrav = 0, nat = 4, ntyp = 4
/
ATOMIC_SPECIES
Li 6.94 Li.upf
Pm 145.00 Pm.upf
Sm 150.36 Sm.upf
Tc 98.00 Tc.upf
ATOMIC_POSITIONS crystal
Li 0.000 0.000 0.000
Pm 0.750 0.750 0.750
Sm 0.250 0.250 0.250
Tc 0.500 0.500 0.500
CELL_PARAMETERS angstrom
0.000 3.555 3.555
3.555 0.000 3.555
3.555 3.555 0.000
```

The value obtained for the density of states at the Fermi level is 0.816 states/eV per atom. The value obtained for the electronic total energy is -5.396 eV/atom. The calculation puts the theoretical density at 7.397 g/cm³. Its volume is 90 Å³/cell. The value obtained for the formation energy is 42 meV per atom. The space-group type is F-43m.